Density functional theory data (SCAN) for a PBEsol-optimized structure of Mg2Al5Cu6.

a b c (Å): 8.166 8.166 8.166
angles (deg): 90.00 90.00 90.00
Space group Pm-3 (No. 200)
Inequivalent atoms, fractional coordinates:
Mg1 0.000 0.178 0.500
Al1 0.000 0.000 0.000
Al2 0.000 0.500 0.334
Al3 0.282 0.282 0.282
Cu1 0.000 0.255 0.164
Cu2 0.273 0.500 0.500

Summary:
- energy of formation (meV/atom) = -325



Density functional theory data (SCAN) for a PBEsol-optimized structure of Mg4AlCu.

a b c (Å): 7.834 7.834 7.834
angles (deg): 90.00 90.00 90.00
Space group F-43m (No. 216)
Inequivalent atoms, fractional coordinates:
Mg1 0.125 0.125 0.125
Al1 0.250 0.250 0.750
Cu1 0.000 0.000 0.500

Summary:
- energy of formation (meV/atom) = 354



Density functional theory data (SCAN) for a PBEsol-optimized structure of MgAl2Cu.

a b c (Å): 2.9107 2.9107 26.0230
angles (deg): 90.00 90.00 120.00
Space group R3m (No. 160, hexagonal axes)
Inequivalent atoms, fractional coordinates:
Mg1 0.0000 0.0000 0.0000
Al1 0.0000 0.0000 0.5128
Al2 0.0000 0.0000 0.7594
Cu1 0.0000 0.0000 0.2516

Summary:
- energy of formation (meV/atom) = -9



Density functional theory data (SCAN) for a PBEsol-optimized structure of MgAl2Cu.

a b c (Å): 2.979 3.723 5.699
angles (deg): 90.00 90.00 90.00
Space group Pmm2 (No. 25)
Inequivalent atoms, fractional coordinates:
Mg1 0.000 0.000 0.000
Al1 0.000 0.000 0.522
Al2 0.500 0.500 0.279
Cu1 0.500 0.500 0.736

Summary:
- energy of formation (meV/atom) = -39



Density functional theory data (SCAN) for a PBEsol-optimized structure of MgAlCu.

a b c (Å): 5.1637 5.1637 36.7521
angles (deg): 90.00 90.00 120.00
Space group R-3m (No. 166, hexagonal axes)
Inequivalent atoms, fractional coordinates:
Mg1 0.0000 0.0000 0.0383
Mg2 0.0000 0.0000 0.1811
Mg3 0.0000 0.0000 0.2700
Al1 0.0008 0.5004 0.7764
Cu1 0.0000 0.0000 0.3880
Cu2 0.0000 0.0000 0.5000
Cu3 0.0000 0.5000 0.0000

Summary:
- energy of formation (meV/atom) = -146



Density functional theory data (SCAN) for a PBEsol-optimized structure of MgAl2Cu.

a b c (Å): 2.848 2.848 7.773
angles (deg): 90.00 90.00 90.00
Space group P4/mmm (No. 123)
Inequivalent atoms, fractional coordinates:
Mg1 0.000 0.000 0.000
Al1 0.500 0.500 0.290
Cu1 0.000 0.000 0.500

Summary:
- energy of formation (meV/atom) = -125



Density functional theory data (SCAN) for a PBEsol-optimized structure of Mg2AlCu.

a b c (Å): 3.080 3.080 7.260
angles (deg): 90.00 90.00 90.00
Space group P4mm (No. 99)
Inequivalent atoms, fractional coordinates:
Mg1 0.000 0.000 0.000
Mg2 0.500 0.500 0.316
Al1 0.000 0.000 0.591
Cu1 0.500 0.500 0.767

Summary:
- energy of formation (meV/atom) = -92



Density functional theory data (SCAN) for a PBEsol-optimized structure of Mg4Al9CuSi9O36.

a b c (Å): 9.751 9.443 9.780
angles (deg): 90.00 119.50 90.00
Space group P2 (No. 3)
Inequivalent atoms, fractional coordinates:
Mg1 0.158 0.000 0.320
Mg2 0.160 0.498 0.323
Al1 0.000 0.002 0.000
Al2 0.000 0.005 0.500
Al3 0.000 0.495 0.500
Al4 0.148 0.750 0.899
Al5 0.242 0.250 0.108
Al6 0.500 0.501 0.500
Al7 0.500 0.998 0.500
Cu1 0.500 0.748 0.000
Si1 0.000 0.499 0.000
Si2 0.128 0.250 0.733
Si3 0.225 0.748 0.607
Si4 0.384 0.251 0.613
Si5 0.405 0.749 0.272
O1 0.016 0.110 0.655
O2 0.016 0.391 0.656
O3 0.025 0.893 0.867
O4 0.034 0.597 0.882
O5 0.141 0.609 0.497
O6 0.146 0.403 0.129
O7 0.146 0.892 0.505
O8 0.153 0.105 0.141
O9 0.210 0.251 0.918
O10 0.219 0.741 0.767
O11 0.253 0.252 0.668
O12 0.337 0.749 0.080
O13 0.352 0.393 0.500
O14 0.357 0.106 0.508
O15 0.360 0.607 0.339
O16 0.362 0.891 0.341
O17 0.405 0.746 0.645
O18 0.440 0.260 0.246

Summary:
- formation energy (no corrections) (eV per atom) = -3.09



Density functional theory data (SCAN) for a PBEsol-optimized structure of MnAl2Cu.

a b c (Å): 3.558 3.587 8.049
angles (deg): 90.00 90.00 90.00
Space group Imm2 (No. 44)
Inequivalent atoms, fractional coordinates:
Mn1 0.000 0.000 0.000
Al1 0.000 0.000 0.501
Al2 0.000 0.500 0.750
Cu1 0.000 0.500 0.250

Summary:
- energy of formation (meV/atom) = -329



Density functional theory data (SCAN) for a PBEsol-optimized structure of MnAl2Cu.

a b c (Å): 2.773 3.645 5.206
angles (deg): 90.00 90.00 90.00
Space group Pmm2 (No. 25)
Inequivalent atoms, fractional coordinates:
Mn1 0.000 0.000 0.000
Al1 0.000 0.000 0.509
Al2 0.500 0.500 0.213
Cu1 0.500 0.500 0.731

Summary:
- energy of formation (meV/atom) = -251



Density functional theory data (SCAN) for a PBEsol-optimized structure of MnAl2Cu.

a b c (Å): 2.803 2.803 6.464
angles (deg): 90.00 90.00 90.00
Space group P4/mmm (No. 123)
Inequivalent atoms, fractional coordinates:
Mn1 0.000 0.000 0.000
Al1 0.500 0.500 0.248
Cu1 0.000 0.000 0.500

Summary:
- energy of formation (meV/atom) = -397



Density functional theory data (SCAN) for a PBEsol-optimized structure of MnAl2Cu.

a b c (Å): 3.884 3.884 3.373
angles (deg): 90.00 90.00 90.00
Space group P4/mmm (No. 123)
Inequivalent atoms, fractional coordinates:
Mn1 0.000 0.000 0.000
Al1 0.000 0.500 0.500
Cu1 0.500 0.500 0.000

Summary:
- energy of formation (meV/atom) = -396



Raw total energy: -11.09 -6.79 -8.93 -8.96 -9.45 -9.04 -8.32 -10.20 -12.57 -12.49 -12.64 -12.64 (eV per atom)